[1]
A relaxed PrNiP2 crystal. Source: Alexandria via LeMat-Bulk, functional GGA-PBE.

Values from the calculation:
crystal system	trigonal
total magnetization	0.000	μB per atom
E_form	-0.1918	eV per atom

Geometry as POSCAR:
```
PrNiP2
1.0
-1.035 -0.517 3.474
-2.715 -2.331 0.774
3.672 -6.468 2.062
Pr Ni P
1 1 2
Cartesian
0.000 0.000 0.000
-0.039 -4.658 3.154
1.765 -4.329 1.811
-1.843 -4.986 4.498
```



[2]
A relaxed PrNi6P2 crystal. Source: Alexandria via LeMat-Bulk, functional GGA-PBE.

Values from the calculation:
crystal system	tetragonal
total magnetization	0.129	μB per atom
E_form	-0.5022	eV per atom

Geometry as POSCAR:
```
PrNi6P2
1.0
-1.038 1.799 -3.383
-2.995 -2.567 -0.446
-4.635 4.724 3.935
Pr Ni P
1 6 2
Cartesian
0.000 0.000 0.000
-2.923 0.169 0.987
-1.944 2.352 -0.482
-4.707 1.988 2.502
-3.728 4.171 1.033
-4.334 1.978 0.053
-2.317 2.362 1.967
-2.846 0.461 -1.211
-5.822 3.495 1.316
```



[3]
A relaxed PrNiP2 crystal. Source: Alexandria via LeMat-Bulk, functional GGA-PBE.

Values from the calculation:
crystal system	orthorhombic
total magnetization	0.000	μB per atom
E_form	-0.9403	eV per atom

Geometry as POSCAR:
```
PrNiP2
1.0
-1.813 1.980 2.745
-3.270 -1.842 -0.805
4.862 -7.065 5.610
Pr Ni P
2 2 4
Cartesian
0.506 -1.659 1.578
-0.816 -5.267 6.005
-0.517 -4.418 2.903
0.212 -2.507 4.678
1.403 -4.360 4.119
-1.712 -2.565 3.464
-3.377 0.893 2.141
-3.982 -0.694 0.667
```



[4]
A relaxed Pr2Ni7P4 crystal. Source: Alexandria via LeMat-Bulk, functional GGA-PBE.

Values from the calculation:
crystal system	orthorhombic
total magnetization	0.000	μB per atom
E_form	-0.8310	eV per atom

Geometry as POSCAR:
```
Pr2Ni7P4
1.0
3.774 0.000 0.000
0.000 9.275 0.000
0.000 0.000 10.512
Pr Ni P
4 14 8
Cartesian
0.000 5.233 10.506
1.887 4.043 5.250
0.000 8.705 8.237
1.887 0.570 2.981
0.000 5.416 3.183
1.887 3.859 8.439
0.000 2.964 2.734
1.887 6.311 7.990
0.000 2.341 9.491
1.887 6.934 4.236
0.000 8.394 0.907
1.887 0.882 6.163
0.000 8.698 5.042
1.887 0.577 10.297
0.000 2.541 7.067
1.887 6.735 1.812
0.000 6.446 6.051
1.887 2.829 0.795
0.000 4.847 7.536
1.887 4.429 2.280
0.000 7.575 3.029
1.887 1.701 8.285
0.000 1.470 0.946
1.887 7.805 6.201
0.000 1.706 4.975
1.887 7.569 10.230
```